1.
# DyErCdPd

A geometry-optimized DyErCdPd structure (PBE, Alexandria).

Cell lengths 3.580, 3.580, 7.340 Å; angles 90.00, 90.00, 90.00 degrees
Positions (direct):
Dy (0.000, 0.000, 0.834)
Er (0.000, 0.000, 0.381)
Cd (0.500, 0.500, 0.111)
Pd (0.500, 0.500, 0.602)

Output
Energy above the lowest structure with this stoichiometry in meV per atom: 0.0
M_tot in μB/f.u.: 0.0
SG: No. 99

2.
# PrDyErCd

A geometry-optimized PrDyErCd structure (PBE, Alexandria).

Cell lengths 5.505, 5.505, 5.505 Å; angles 60.00, 60.00, 60.00 degrees
Positions (direct):
Pr (0.250, 0.250, 0.250)
Cd (0.500, 0.500, 0.500)
Dy (0.750, 0.750, 0.750)
Er (0.000, 0.000, 0.000)

Output
Energy above the lowest structure with this stoichiometry in meV per atom: 112.0
M_tot in μB/f.u.: 0.0
SG: No. 216

3.
# PrDyErCd

A geometry-optimized PrDyErCd structure (PBE, Alexandria).

Cell lengths 3.653, 3.653, 8.944 Å; angles 90.00, 90.00, 90.00 degrees
Positions (direct):
Pr (0.000, 0.000, 0.073)
Dy (0.500, 0.500, 0.789)
Er (0.500, 0.500, 0.354)
Cd (0.000, 0.000, 0.569)

Output
Energy above the lowest structure with this stoichiometry in meV per atom: 0.0
M_tot in μB/f.u.: 0.0
SG: No. 99

4.
# DyErPuCd

A geometry-optimized DyErPuCd structure (PBE, Alexandria).

Cell lengths 5.379, 5.379, 5.379 Å; angles 60.00, 60.00, 60.00 degrees
Positions (direct):
Cd (0.750, 0.750, 0.750)
Er (0.500, 0.500, 0.500)
Dy (0.000, 0.000, 0.000)
Pu (0.250, 0.250, 0.250)

Output
M_tot in μB/f.u.: 6.6
SG: No. 216

5.
# DyErCdRu

A geometry-optimized DyErCdRu structure (PBE, Alexandria).

Cell lengths 5.009, 5.009, 5.009 Å; angles 60.00, 60.00, 60.00 degrees
Positions (direct):
Cd (0.250, 0.250, 0.250)
Dy (0.000, 0.000, 0.000)
Ru (0.750, 0.750, 0.750)
Er (0.500, 0.500, 0.500)

Output
Energy above the lowest structure with this stoichiometry in meV per atom: 118.7
M_tot in μB/f.u.: 0.0
SG: No. 216

6.
# DyErCdRu

A geometry-optimized DyErCdRu structure (PBE, Alexandria).

Cell lengths 3.445, 3.445, 7.661 Å; angles 90.00, 90.00, 90.00 degrees
Positions (direct):
Dy (0.500, 0.500, 0.786)
Er (0.500, 0.500, 0.356)
Cd (0.000, 0.000, 0.074)
Ru (0.000, 0.000, 0.568)

Output
Energy above the lowest structure with this stoichiometry in meV per atom: 0.0
M_tot in μB/f.u.: 0.0
SG: No. 99

7.
# DyErScCd

A geometry-optimized DyErScCd structure (PBE, Alexandria).

Cell lengths 3.542, 3.542, 8.609 Å; angles 90.00, 90.00, 90.00 degrees
Positions (direct):
Dy (0.500, 0.500, 0.814)
Er (0.500, 0.500, 0.329)
Sc (0.000, 0.000, 0.073)
Cd (0.000, 0.000, 0.569)

Output
Energy above the lowest structure with this stoichiometry in meV per atom: 0.0
M_tot in μB/f.u.: 0.0
SG: No. 99

8.
# DyErScCd

A geometry-optimized DyErScCd structure (PBE, Alexandria).

Cell lengths 5.316, 5.316, 5.316 Å; angles 60.00, 60.00, 60.00 degrees
Positions (direct):
Sc (0.250, 0.250, 0.250)
Cd (0.750, 0.750, 0.750)
Dy (0.500, 0.500, 0.500)
Er (0.000, 0.000, 0.000)

Output
Energy above the lowest structure with this stoichiometry in meV per atom: 88.3
M_tot in μB/f.u.: 0.0
SG: No. 216

9.
# SmDyErCd

A geometry-optimized SmDyErCd structure (PBE, Alexandria).

Cell lengths 3.596, 3.596, 9.035 Å; angles 90.00, 90.00, 90.00 degrees
Positions (direct):
Sm (0.000, 0.000, 0.073)
Dy (0.500, 0.500, 0.795)
Er (0.500, 0.500, 0.348)
Cd (0.000, 0.000, 0.569)

Output
Energy above the lowest structure with this stoichiometry in meV per atom: 0.0
M_tot in μB/f.u.: 0.0
SG: No. 99

10.
# SmDyErCd

A geometry-optimized SmDyErCd structure (PBE, Alexandria).

Cell lengths 5.461, 5.461, 5.461 Å; angles 60.00, 60.00, 60.00 degrees
Positions (direct):
Cd (0.750, 0.750, 0.750)
Dy (0.000, 0.000, 0.000)
Sm (0.500, 0.500, 0.500)
Er (0.250, 0.250, 0.250)

Output
Energy above the lowest structure with this stoichiometry in meV per atom: 118.4
M_tot in μB/f.u.: 0.0
SG: No. 216

11.
# DyErCdTc

A geometry-optimized DyErCdTc structure (PBE, Alexandria).

Cell lengths 5.018, 5.018, 5.018 Å; angles 60.00, 60.00, 60.00 degrees
Positions (direct):
Cd (0.750, 0.750, 0.750)
Dy (0.500, 0.500, 0.500)
Tc (0.250, 0.250, 0.250)
Er (0.000, 0.000, 0.000)

Output
M_tot in μB/f.u.: 0.0
SG: No. 216

12.
# DyErThCd

A geometry-optimized DyErThCd structure (PBE, Alexandria).

Cell lengths 3.603, 3.603, 8.813 Å; angles 90.00, 90.00, 90.00 degrees
Positions (direct):
Dy (0.500, 0.500, 0.801)
Er (0.500, 0.500, 0.342)
Th (0.000, 0.000, 0.073)
Cd (0.000, 0.000, 0.569)

Output
Energy above the lowest structure with this stoichiometry in meV per atom: 0.0
M_tot in μB/f.u.: 0.0
SG: No. 99

Computed values of D(E_F) (unit: states/eV per cell) for the preceding records, in sequence: 2.91 5.32 5.20 13.54 3.80 3.11 5.44 5.09 4.01 5.22 2.94 5.19.
Computed values of V (unit: Å³ per atom) for the preceding records, in sequence: 23.5 29.5 29.8 27.5 22.2 22.7 27.0 26.6 29.2 28.8 22.3 28.6.
Computed values of energy of formation from the pure elements (unit: kJ/mol of formula units) for the preceding records, in sequence: -237 -13 -56 28 -118 -164 -50 -16 -58 -12 -42 -63.